1.
DFT (PBE-GGA) results for crystalline Sc2CuAu at its relaxed geometry. Values from VASP.

Computed properties:
- Crystal system: orthorhombic
- Energy of formation from the pure elements: -0.55 eV per atom
- Symmetry: Pmmn (59)

Structure (Quantum ESPRESSO input):
```
&SYSTEM
  ibrav = 0, nat = 8, ntyp = 3
/
ATOMIC_SPECIES
Sc 44.96 Sc.upf
Cu 63.55 Cu.upf
Au 196.97 Au.upf
ATOMIC_POSITIONS crystal
Sc 0.250 0.000 0.244
Sc 0.250 0.500 0.244
Sc 0.750 0.000 0.756
Sc 0.750 0.500 0.756
Cu 0.250 0.250 0.735
Cu 0.750 0.750 0.265
Au 0.250 0.750 0.738
Au 0.750 0.250 0.262
CELL_PARAMETERS angstrom
4.711 0.000 0.000
0.000 6.650 0.000
0.000 0.000 4.725
```

2.
DFT (PBE-GGA) results for crystalline LuReMo2 at its relaxed geometry. Values from VASP.

Computed properties:
- Crystal system: cubic
- Energy of formation from the pure elements: 0.18 eV per atom
- Symmetry: F-43m (216)

Structure (Quantum ESPRESSO input):
```
&SYSTEM
  ibrav = 0, nat = 16, ntyp = 3
/
ATOMIC_SPECIES
Lu 174.97 Lu.upf
Re 186.21 Re.upf
Mo 95.94 Mo.upf
ATOMIC_POSITIONS crystal
Lu 0.000 0.000 0.000
Lu 0.000 0.500 0.500
Lu 0.500 0.000 0.500
Lu 0.500 0.500 0.000
Re 0.250 0.250 0.750
Re 0.250 0.750 0.250
Re 0.750 0.250 0.250
Re 0.750 0.750 0.750
Mo 0.000 0.000 0.500
Mo 0.000 0.500 0.000
Mo 0.250 0.250 0.250
Mo 0.250 0.750 0.750
Mo 0.500 0.000 0.000
Mo 0.500 0.500 0.500
Mo 0.750 0.250 0.750
Mo 0.750 0.750 0.250
CELL_PARAMETERS angstrom
6.481 0.000 0.000
0.000 6.481 0.000
0.000 0.000 6.481
```

3.
DFT (PBE-GGA) results for crystalline LuFeHgAs at its relaxed geometry. Values from VASP.

Computed properties:
- Calculated total energy: -0.3170 Ry per atom
- Crystal system: cubic
- Symmetry: F-43m (216)

Structure (Quantum ESPRESSO input):
```
&SYSTEM
  ibrav = 0, nat = 16, ntyp = 4
/
ATOMIC_SPECIES
Lu 174.97 Lu.upf
Fe 55.84 Fe.upf
Hg 200.59 Hg.upf
As 74.92 As.upf
ATOMIC_POSITIONS crystal
Lu 0.000 0.000 0.000
Lu 0.000 0.500 0.500
Lu 0.500 0.000 0.500
Lu 0.500 0.500 0.000
Fe 0.250 0.250 0.750
Fe 0.250 0.750 0.250
Fe 0.750 0.250 0.250
Fe 0.750 0.750 0.750
Hg 0.250 0.250 0.250
Hg 0.250 0.750 0.750
Hg 0.750 0.250 0.750
Hg 0.750 0.750 0.250
As 0.000 0.000 0.500
As 0.000 0.500 0.000
As 0.500 0.000 0.000
As 0.500 0.500 0.500
CELL_PARAMETERS angstrom
6.814 0.000 0.000
0.000 6.814 0.000
0.000 0.000 6.814
```

4.
DFT (PBE-GGA) results for crystalline K2NbPbO6 at its relaxed geometry. Values from VASP.

Computed properties:
- Calculated total energy: -0.4556 Ry per atom
- Crystal system: cubic
- Symmetry: Fm-3m (225)

Structure (Quantum ESPRESSO input):
```
&SYSTEM
  ibrav = 0, nat = 10, ntyp = 4
/
ATOMIC_SPECIES
K 39.10 K.upf
Nb 92.91 Nb.upf
Pb 207.20 Pb.upf
O 16.00 O.upf
ATOMIC_POSITIONS crystal
K 0.250 0.250 0.250
K 0.750 0.750 0.750
Nb 0.000 0.000 0.000
Pb 0.500 0.500 0.500
O 0.240 0.240 0.760
O 0.240 0.760 0.240
O 0.240 0.760 0.760
O 0.760 0.240 0.240
O 0.760 0.240 0.760
O 0.760 0.760 0.240
CELL_PARAMETERS angstrom
0.000 4.145 4.145
4.145 0.000 4.145
4.145 4.145 0.000
```

no.,calculated density (kg/m3)
1,7863
2,13493
3,10632
4,5531